First-principles (GGA-PBE) data for a relaxed NdY2Ni crystal, as listed in Alexandria.

Properties
Symmetry   R3m
Energy relative to the lowest polymorph listed for this composition   110 meV per atom
VASP energy   -5.97 eV/atom
Fermi-level density of states   1.173 states/eV/atom
Formation energy from the elements   -10 kJ per mole of atoms

Cell: 9.290 9.290 9.290 Å, 23.91 23.91 23.91°
Fractional positions:
Nd  0.000  0.000  0.000
Y  0.556  0.556  0.556
Y  0.773  0.773  0.773
Ni  0.164  0.164  0.164